Entry 1:
Here is CdCuPt14 after structural relaxation from Alexandria. Energies are from PBE-GGA.

The value obtained for the formation energy is -0.05 eV/atom.

The structure belongs to space group Amm2 (No. 38); the cell edges are 9.352, 5.565 and 9.695 Å and the angles 90.00°, 90.00° and 90.00°. The distinct sites, in fractional coordinates, are Cd at (0.000, 0.000, 0.000), Cu at (0.000, 0.000, 0.498), Pt at (0.000, 0.250, 0.251), Pt at (0.243, 0.000, 0.659), Pt at (0.248, 0.248, 0.410), Pt at (0.250, 0.000, 0.161), Pt at (0.500, 0.000, 0.323), Pt at (0.500, 0.000, 0.822) and Pt at (0.500, 0.249, 0.573).

---

Entry 2:
Here is Li2ScMo after structural relaxation from Alexandria. Energies are from PBE-GGA.

The value obtained for the formation energy is 0.23 eV/atom.

The structure belongs to space group Cmm2 (No. 35); the cell edges are 3.464, 4.395 and 9.761 Å and the angles 90.00°, 90.00° and 90.00°. The distinct sites, in fractional coordinates, are Li at (0.000, 0.000, 0.000), Li at (0.000, 0.500, 0.259), Sc at (0.000, 0.500, 0.719) and Mo at (0.000, 0.000, 0.492).

---

Entry 3:
Here is Co3Tc2 after structural relaxation from Alexandria. Energies are from PBE-GGA.

The value obtained for the formation energy is 0.55 eV/atom.

The structure belongs to space group P-3m1 (No. 164); the cell edges are 4.0102, 4.0102 and 5.0163 Å and the angles 90.00°, 90.00° and 120.00°. The distinct sites, in fractional coordinates, are Co at (0.0000, 0.0000, 0.0000), Co at (0.3333, 0.6667, 0.3697) and Tc at (0.3333, 0.6667, 0.8456).

---

Entry 4:
Here is La6NiP2Br3 after structural relaxation from Alexandria. Energies are from PBE-GGA.

The raw formation energy is -1316 meV/atom.

The structure belongs to space group C2/m (No. 12); the cell edges are 7.395, 12.723 and 7.724 Å and the angles 90.00°, 109.04° and 90.00°. The distinct sites, in fractional coordinates, are La at (0.234, 0.163, 0.210), La at (0.237, 0.500, 0.218), Ni at (0.000, 0.000, 0.000), P at (0.000, 0.333, 0.000), Br at (0.000, 0.173, 0.500) and Br at (0.000, 0.500, 0.500).

---

no.,D(E_F) (states/eV per cell)
1,49.03
2,5.76
3,5.40
4,19.79